No. 1
Below is a relaxed PtS3F crystal, with properties calculated at the PBE-GGA level.

Cell lengths 4.3336, 4.3336, 4.3336 Å; angles 90.00, 90.00, 90.00 degrees
Fractional coordinates of all 5 atoms:
Pt 0.0000 0.0000 0.0000
S 0.0000 0.5000 0.5000
S 0.5000 0.0000 0.5000
S 0.5000 0.5000 0.0000
F 0.5000 0.5000 0.5000

Properties
VASP energy	-2.81	eV/atom
energy relative to the elements, uncorrected	1249.9	meV/atom

No. 2
Below is a relaxed Sc2Mn2AlNi5 crystal, with properties calculated at the PBE-GGA level.

Cell lengths 8.6849, 8.6849, 3.6727 Å; angles 90.00, 90.00, 90.00 degrees
Fractional coordinates of all 20 atoms:
Sc 0.1770 0.3230 0.0000
Sc 0.3230 0.8230 0.0000
Sc 0.6770 0.1770 0.0000
Sc 0.8230 0.6770 0.0000
Mn 0.1214 0.6214 0.0000
Mn 0.3786 0.1214 0.0000
Mn 0.6214 0.8786 0.0000
Mn 0.8786 0.3786 0.0000
Al 0.0000 0.0000 0.0000
Al 0.5000 0.5000 0.0000
Ni 0.0000 0.5000 0.5000
Ni 0.0642 0.7960 0.5000
Ni 0.2040 0.0642 0.5000
Ni 0.2960 0.5642 0.5000
Ni 0.4358 0.2960 0.5000
Ni 0.5000 0.0000 0.5000
Ni 0.5642 0.7040 0.5000
Ni 0.7040 0.4358 0.5000
Ni 0.7960 0.9358 0.5000
Ni 0.9358 0.2040 0.5000

Properties
VASP energy	-6.62	eV/atom
E_form	-0.255	eV per atom

No. 3
Below is a relaxed Si3AsPb crystal, with properties calculated at the PBE-GGA level.

Cell lengths 4.9067, 4.9067, 4.9067 Å; angles 90.00, 90.00, 90.00 degrees
Fractional coordinates of all 5 atoms:
Si 0.0000 0.0000 0.5000
Si 0.0000 0.5000 0.0000
Si 0.5000 0.0000 0.0000
As 0.0000 0.0000 0.0000
Pb 0.5000 0.5000 0.5000

Properties
VASP energy	-4.07	eV/atom
energy relative to the elements, uncorrected	858.9	meV/atom

No. 4
Below is a relaxed Dy2ScNi2 crystal, with properties calculated at the PBE-GGA level.

Cell lengths 6.4060, 6.4060, 10.7321 Å; angles 118.26, 118.26, 33.31 degrees
Fractional coordinates of all 10 atoms:
Dy 0.0404 0.0404 0.1909
Dy 0.1633 0.1633 0.5774
Dy 0.8367 0.8367 0.4226
Dy 0.9596 0.9596 0.8091
Sc 0.2911 0.2911 0.1359
Sc 0.7089 0.7089 0.8641
Ni 0.3810 0.3810 0.9489
Ni 0.4978 0.4978 0.6200
Ni 0.5022 0.5022 0.3800
Ni 0.6190 0.6190 0.0511

Properties
VASP energy	-5.80	eV/atom
E_form	-0.382	eV per atom

No. 5
Below is a relaxed PmNbGa crystal, with properties calculated at the PBE-GGA level.

Cell lengths 8.9702, 8.9702, 8.9702 Å; angles 154.05, 154.05, 37.03 degrees
Fractional coordinates of all 6 atoms:
Pm 0.1735 0.1735 0.0000
Pm 0.8265 0.8265 0.0000
Nb 0.0000 0.5000 0.5000
Nb 0.5000 0.0000 0.5000
Ga 0.3838 0.3838 0.0000
Ga 0.6162 0.6162 0.0000

Properties
VASP energy	-6.30	eV/atom
E_form	-0.353	eV per atom

No. 6
Below is a relaxed Si2PW crystal, with properties calculated at the PBE-GGA level.

Cell lengths 4.4143, 4.4143, 3.0706 Å; angles 90.00, 90.00, 111.03 degrees
Fractional coordinates of all 4 atoms:
Si 0.0000 0.5000 0.0000
Si 0.5000 0.0000 0.0000
P 0.0000 0.0000 0.5000
W 0.5000 0.5000 0.5000

Properties
VASP energy	-6.98	eV/atom
energy relative to the elements, uncorrected	317.7	meV/atom

No. 7
Below is a relaxed TaMn3N crystal, with properties calculated at the PBE-GGA level.

Cell lengths 3.8091, 3.8091, 3.8091 Å; angles 90.00, 90.00, 90.00 degrees
Fractional coordinates of all 5 atoms:
Ta 0.0000 0.0000 0.0000
Mn 0.0000 0.5000 0.5000
Mn 0.5000 0.0000 0.5000
Mn 0.5000 0.5000 0.0000
N 0.5000 0.5000 0.5000

Properties
VASP energy	-9.82	eV/atom
energy relative to the elements, uncorrected	-280.3	meV/atom

No. 8
Below is a relaxed As2OsO crystal, with properties calculated at the PBE-GGA level.

Cell lengths 6.3441, 6.3441, 6.3441 Å; angles 130.09, 130.09, 73.26 degrees
Fractional coordinates of all 8 atoms:
As 0.1016 0.6250 0.9766
As 0.3750 0.3516 0.4766
As 0.6484 0.1250 0.0234
As 0.8750 0.8984 0.5234
Os 0.2500 0.7500 0.5000
Os 0.5000 0.5000 0.0000
O 0.0000 0.0000 0.0000
O 0.7500 0.2500 0.5000

Properties
VASP energy	-6.20	eV/atom
energy relative to the elements, uncorrected	170.2	meV/atom

No. 9
Below is a relaxed Hf3TiW crystal, with properties calculated at the PBE-GGA level.

Cell lengths 5.0205, 5.0205, 5.0205 Å; angles 90.00, 90.00, 90.00 degrees
Fractional coordinates of all 5 atoms:
Hf 0.0000 0.0000 0.5000
Hf 0.0000 0.5000 0.0000
Hf 0.5000 0.0000 0.0000
Ti 0.5000 0.5000 0.5000
W 0.0000 0.0000 0.0000

Properties
VASP energy	-9.09	eV/atom
E_form	1.051	eV per atom

No. 10
Below is a relaxed Ti3CoMo2 crystal, with properties calculated at the PBE-GGA level.

Cell lengths 3.1025, 3.1025, 9.3428 Å; angles 90.00, 90.00, 90.00 degrees
Fractional coordinates of all 6 atoms:
Ti 0.0000 0.0000 0.0000
Ti 0.0000 0.0000 0.3427
Ti 0.0000 0.0000 0.6573
Co 0.5000 0.5000 0.5000
Mo 0.5000 0.5000 0.1718
Mo 0.5000 0.5000 0.8282

Properties
VASP energy	-8.93	eV/atom
E_form	-0.184	eV per atom

No. 11
Below is a relaxed Ac5PrRh3 crystal, with properties calculated at the PBE-GGA level.

Cell lengths 6.9644, 4.3731, 21.2510 Å; angles 90.00, 91.09, 90.00 degrees
Fractional coordinates of all 18 atoms:
Ac 0.2190 0.0000 0.4381
Ac 0.2220 0.0000 0.7738
Ac 0.2448 0.0000 0.1132
Ac 0.2606 0.5000 0.9435
Ac 0.2804 0.5000 0.6088
Ac 0.7196 0.5000 0.3912
Ac 0.7394 0.5000 0.0565
Ac 0.7552 0.0000 0.8868
Ac 0.7780 0.0000 0.2262
Ac 0.7810 0.0000 0.5619
Pr 0.2689 0.5000 0.2761
Pr 0.7311 0.5000 0.7239
Rh 0.0000 0.5000 0.5000
Rh 0.0081 0.5000 0.1672
Rh 0.4924 0.0000 0.3308
Rh 0.5000 0.0000 0.0000
Rh 0.5076 0.0000 0.6692
Rh 0.9919 0.5000 0.8328

Properties
VASP energy	-5.79	eV/atom
E_form	-0.529	eV per atom

No. 12
Below is a relaxed Ga2TeH6 crystal, with properties calculated at the PBE-GGA level.

Cell lengths 5.5000, 5.5000, 5.5000 Å; angles 60.00, 60.00, 60.00 degrees
Fractional coordinates of all 9 atoms:
Ga 0.2500 0.2500 0.2500
Ga 0.7500 0.7500 0.7500
Te 0.0000 0.0000 0.0000
H 0.2480 0.2480 0.7520
H 0.2480 0.7520 0.2480
H 0.2480 0.7520 0.7520
H 0.7520 0.2480 0.2480
H 0.7520 0.2480 0.7520
H 0.7520 0.7520 0.2480

Properties
VASP energy	-2.52	eV/atom